Record 1
A relaxed structure of Sr2Li2Cu. Source: Alexandria via LeMat-Bulk, functional PBE.

a b c (Å): 7.5956 7.5956 5.1322
angles (deg): 90.00 90.00 90.00
Fractional positions:
1 Sr 0.1860 0.6860 0.5000
2 Sr 0.6860 0.8140 0.5000
3 Sr 0.8140 0.3140 0.5000
4 Sr 0.3140 0.1860 0.5000
5 Cu 0.0000 0.0000 0.0000
6 Cu 0.5000 0.5000 0.0000
7 Li 0.3663 0.8663 0.0000
8 Li 0.8663 0.6337 0.0000
9 Li 0.6337 0.1337 0.0000
10 Li 0.1337 0.3663 0.0000

Results
- E_form: 75 kJ/mol of formula units
- Spin magnetization: 0.00 μB per cell
- Space group: No. 127
- Polymorph energy (0 for the lowest one): 10.22 kJ per mole of atoms
- VASP energy: -10.52 eV/f.u.

***

Record 2
A relaxed structure of Sr3Li8Cu. Source: Alexandria via LeMat-Bulk, functional PBE.

a b c (Å): 6.1991 6.1991 10.4434
angles (deg): 72.73 72.73 60.00
Fractional positions:
1 Sr 0.6233 0.6233 0.1300
2 Sr 0.0194 0.0194 0.9419
3 Sr 0.4901 0.4901 0.5296
4 Li 0.5701 0.0544 0.8053
5 Li 0.0608 0.5388 0.3396
6 Li 0.5701 0.5701 0.8053
7 Li 0.0608 0.0608 0.3396
8 Li 0.8095 0.8095 0.5714
9 Li 0.3137 0.3137 0.0589
10 Li 0.0544 0.5701 0.8053
11 Li 0.5388 0.0608 0.3396
12 Cu 0.1389 0.1389 0.5832

Results
- E_form: 103 kJ/mol of formula units
- Spin magnetization: 0.00 μB per cell
- Space group: No. 160
- VASP energy: -23.39 eV/f.u.

***

Record 3
A relaxed structure of SrLi2Cu2. Source: Alexandria via LeMat-Bulk, functional PBE.

a b c (Å): 4.2296 6.6105 7.9825
angles (deg): 90.00 90.00 108.66
Fractional positions:
1 Sr 0.4126 0.8252 0.3466
2 Sr 0.5874 0.1748 0.8466
3 Li 0.3106 0.6211 0.9555
4 Li 0.6894 0.3789 0.4555
5 Li 0.1310 0.2619 0.2157
6 Li 0.8690 0.7381 0.7157
7 Cu 0.2420 0.4839 0.6454
8 Cu 0.7580 0.5161 0.1454
9 Cu 0.9378 0.8756 0.0412
10 Cu 0.0622 0.1244 0.5412

Results
- E_form: -5 kJ/mol of formula units
- Spin magnetization: 0.00 μB per cell
- Space group: No. 36
- Polymorph energy (0 for the lowest one): 1.49 kJ per mole of atoms
- VASP energy: -13.75 eV/f.u.

***

Record 4
A relaxed structure of Sr3LiCu. Source: Alexandria via LeMat-Bulk, functional PBE.

a b c (Å): 5.9956 5.9956 5.9956
angles (deg): 90.00 90.00 90.00
Fractional positions:
1 Sr 0.0000 0.5000 0.0000
2 Sr 0.0000 0.0000 0.5000
3 Sr 0.5000 0.0000 0.0000
4 Cu 0.0000 0.0000 0.0000
5 Li 0.5000 0.5000 0.5000

Results
- E_form: 25 kJ/mol of formula units
- Spin magnetization: 0.00 μB per cell
- Space group: No. 221
- Polymorph energy (0 for the lowest one): 7.29 kJ per mole of atoms
- VASP energy: -10.79 eV/f.u.

***

Record 5
A relaxed structure of Sr2Li17Cu3. Source: Alexandria via LeMat-Bulk, functional PBE.

a b c (Å): 7.9217 7.9217 7.9217
angles (deg): 83.61 83.61 83.61
Fractional positions:
1 Sr 0.3351 0.3351 0.3351
2 Sr 0.6649 0.6649 0.6649
3 Li 0.5000 0.0000 0.0000
4 Li 0.0000 0.0000 0.5000
5 Li 0.0000 0.5000 0.0000
6 Li 0.0000 0.7323 0.2677
7 Li 0.7323 0.2677 0.0000
8 Li 0.2677 0.0000 0.7323
9 Li 0.2677 0.7323 0.0000
10 Li 0.7323 0.0000 0.2677
11 Li 0.0000 0.2677 0.7323
12 Li 0.1677 0.6645 0.6645
13 Li 0.6645 0.6645 0.1677
14 Li 0.6645 0.1677 0.6645
15 Li 0.8323 0.3355 0.3355
16 Li 0.3355 0.3355 0.8323
17 Li 0.3355 0.8323 0.3355
18 Li 0.0941 0.0941 0.0941
19 Li 0.9059 0.9059 0.9059
20 Cu 0.0000 0.5000 0.5000
21 Cu 0.5000 0.5000 0.0000
22 Cu 0.5000 0.0000 0.5000

Results
- E_form: 125 kJ/mol of formula units
- Spin magnetization: 0.00 μB per cell
- Space group: No. 166
- VASP energy: -46.89 eV/f.u.

***

Record 6
A relaxed structure of SrLi2Cu. Source: Alexandria via LeMat-Bulk, functional PBE.

a b c (Å): 5.5074 5.5074 5.2327
angles (deg): 71.56 71.56 39.43
Fractional positions:
1 Cu 0.2500 0.2500 0.2500
2 Li 0.9536 0.9536 0.0906
3 Li 0.5464 0.5464 0.4094
4 Sr 0.7500 0.7500 0.7500

Results
- E_form: 22 kJ/mol of formula units
- Spin magnetization: 0.00 μB per cell
- Space group: No. 12
- Polymorph energy (0 for the lowest one): 5.55 kJ per mole of atoms
- VASP energy: -9.37 eV/f.u.